The following is a DFT calculation (PBE) of an optimized crystal structure of Dy8Hg3Se3S.

It has space group C2/m (No. 12), with a = 13.740 Å, b = 7.943 Å, c = 8.686 Å, α = 90.00°, β = 121.81° and γ = 90.00°. The distinct sites, in fractional coordinates, are Dy at (0.005, 0.247, 0.270), Dy at (0.241, 0.000, 0.730), Dy at (0.243, 0.500, 0.728), Hg at (0.000, 0.000, 0.000), Hg at (0.250, 0.250, 0.000), Se at (0.000, 0.500, 0.500), Se at (0.250, 0.250, 0.500) and S at (0.000, 0.000, 0.500).

For the uncorrected formation energy, the calculation gives -104.0 kJ per mole of atoms.